{"formula": "Mn2CoRh", "functional": "PBEsol", "state": "optimized geometry", "density_g_cm3": 9.22, "dos_ef_per_ev_cell": 2.92, "formation_enthalpy_0k_ev_per_atom": 0.052, "sg": "No. 225", "de_polymorph_mev_per_atom": 75.3, "lattice": [[-0.172, -1.111, -3.948], [1.176, -3.769, -1.125], [-2.796, -2.737, -1.242]], "species": ["Rh", "Mn", "Mn", "Co"], "fractional_positions": [[0.500, 0.500, 0.500], [0.250, 0.250, 0.250], [0.750, 0.750, 0.750], [0.000, 0.000, 0.000]]}



{"formula": "Mn2CoRh", "functional": "PBEsol", "state": "optimized geometry", "density_g_cm3": 10.11, "dos_ef_per_ev_cell": 4.72, "formation_enthalpy_0k_ev_per_atom": 0.059, "sg": "No. 123", "de_polymorph_mev_per_atom": 82.7, "lattice": [[2.522, 0.000, 0.000], [0.000, 2.522, 0.000], [0.000, 0.000, 7.020]], "species": ["Mn", "Mn", "Rh", "Co"], "fractional_positions": [[0.000, 0.000, 0.737], [0.000, 0.000, 0.263], [0.500, 0.500, 0.000], [0.500, 0.500, 0.500]]}



{"formula": "Mn2CoRu", "functional": "PBEsol", "state": "optimized geometry", "density_g_cm3": 10.10, "dos_ef_per_ev_cell": 5.08, "formation_enthalpy_0k_ev_per_atom": 0.098, "sg": "No. 47", "lattice": [[-1.986, 0.880, -1.287], [-1.555, -3.132, 0.258], [-2.154, 1.423, 4.297]], "species": ["Mn", "Mn", "Co", "Ru"], "fractional_positions": [[0.000, 0.000, 0.733], [0.000, 0.000, 0.267], [0.500, 0.500, 0.500], [0.500, 0.500, 0.000]]}



{"formula": "MnCoRu2", "functional": "PBEsol", "state": "optimized geometry", "density_g_cm3": 11.08, "dos_ef_per_ev_cell": 4.93, "formation_enthalpy_0k_ev_per_atom": 0.148, "sg": "No. 99", "de_polymorph_mev_per_atom": 63.8, "lattice": [[2.571, 0.000, 0.000], [0.000, 2.571, 0.000], [0.000, 0.000, 7.165]], "species": ["Mn", "Ru", "Ru", "Co"], "fractional_positions": [[0.500, 0.500, 0.739], [0.000, 0.000, 0.989], [0.500, 0.500, 0.261], [0.000, 0.000, 0.511]]}



{"formula": "MnCoRu2", "functional": "PBEsol", "state": "optimized geometry", "density_g_cm3": 11.05, "dos_ef_per_ev_cell": 5.12, "formation_enthalpy_0k_ev_per_atom": 0.131, "sg": "No. 65", "de_polymorph_mev_per_atom": 46.7, "lattice": [[-1.053, 2.350, 0.017], [-3.641, -1.618, -1.884], [-0.471, -0.242, 4.376]], "species": ["Ru", "Ru", "Mn", "Co"], "fractional_positions": [[0.000, 0.000, 0.500], [0.000, 0.500, 0.000], [0.500, 0.500, 0.500], [0.500, 0.000, 0.000]]}



{"formula": "MnCoRu2", "functional": "PBEsol", "state": "optimized geometry", "density_g_cm3": 11.15, "dos_ef_per_ev_cell": 4.62, "formation_enthalpy_0k_ev_per_atom": 0.084, "sg": "No. 38", "de_polymorph_mev_per_atom": 0.0, "lattice": [[-2.329, -1.072, -0.298], [1.526, -3.520, 0.743], [0.310, 1.126, 4.700]], "species": ["Ru", "Ru", "Co", "Mn"], "fractional_positions": [[0.293, 0.500, 0.585], [0.957, 0.000, 0.914], [0.692, 0.000, 0.383], [0.561, 0.500, 0.122]]}



{"formula": "Mn2CoRu", "functional": "PBEsol", "state": "optimized geometry", "density_g_cm3": 10.13, "dos_ef_per_ev_cell": 4.42, "formation_enthalpy_0k_ev_per_atom": 0.068, "sg": "No. 123", "lattice": [[-2.636, 1.038, -2.104], [-2.323, -0.641, 2.594], [0.380, 3.323, 1.162]], "species": ["Ru", "Co", "Mn", "Mn"], "fractional_positions": [[0.500, 0.500, 0.500], [0.500, 0.000, 0.000], [0.000, 0.000, 0.500], [0.000, 0.500, 0.000]]}



{"formula": "MnCo3Sb", "functional": "PBEsol", "state": "optimized geometry", "density_g_cm3": 6.37, "dos_ef_per_ev_cell": 6.62, "sg": "No. 221", "formation_energy_uncorrected_ev_per_fu": 7.09, "lattice": [[-3.464, -0.225, 2.890], [1.937, -3.530, 2.047], [2.157, 2.809, 2.804]], "species": ["Mn", "Sb", "Co", "Co", "Co"], "fractional_positions": [[0.500, 0.500, 0.500], [0.000, 0.000, 0.000], [0.000, 0.000, 0.500], [0.000, 0.500, 0.000], [0.500, 0.000, 0.000]]}



{"formula": "MnCoSb2Te", "functional": "PBEsol", "state": "optimized geometry", "density_g_cm3": 6.72, "dos_ef_per_ev_cell": 3.97, "sg": "No. 123", "formation_energy_uncorrected_ev_per_fu": 3.09, "lattice": [[4.722, 0.000, 0.000], [0.000, 4.722, 0.000], [0.000, 0.000, 5.375]], "species": ["Te", "Sb", "Sb", "Co", "Mn"], "fractional_positions": [[0.000, 0.000, 0.500], [0.500, 0.000, 0.000], [0.000, 0.500, 0.000], [0.000, 0.000, 0.000], [0.500, 0.500, 0.500]]}



{"formula": "ScMnCo2", "functional": "PBEsol", "state": "optimized geometry", "density_g_cm3": 7.02, "dos_ef_per_ev_cell": 4.92, "formation_enthalpy_0k_ev_per_atom": 0.317, "sg": "No. 166", "lattice": [[2.748, 0.000, 0.000], [1.374, 2.380, 0.000], [1.374, 0.793, 7.882]], "species": ["Co", "Co", "Mn", "Sc"], "fractional_positions": [[0.757, 0.757, 0.730], [0.243, 0.243, 0.270], [0.500, 0.500, 0.500], [0.000, 0.000, 0.000]]}



{"formula": "ScMnCo2", "functional": "PBEsol", "state": "optimized geometry", "density_g_cm3": 6.97, "dos_ef_per_ev_cell": 3.58, "formation_enthalpy_0k_ev_per_atom": 0.109, "sg": "No. 99", "lattice": [[2.946, 0.000, 0.000], [0.000, 2.946, 0.000], [0.000, 0.000, 5.980]], "species": ["Co", "Co", "Sc", "Mn"], "fractional_positions": [[0.500, 0.500, 0.244], [0.000, 0.000, 0.038], [0.500, 0.500, 0.753], [0.000, 0.000, 0.465]]}



{"formula": "ScMn2Co", "functional": "PBEsol", "state": "optimized geometry", "density_g_cm3": 7.21, "dos_ef_per_ev_cell": 4.92, "formation_enthalpy_0k_ev_per_atom": 0.244, "sg": "No. 12", "de_polymorph_mev_per_atom": 217.9, "lattice": [[2.612, -0.020, 0.000], [-0.748, 4.511, 0.000], [-0.932, -2.246, 4.186]], "species": ["Mn", "Mn", "Sc", "Co"], "fractional_positions": [[0.000, 0.000, 0.500], [0.500, 0.500, 0.500], [0.000, 0.500, 0.000], [0.500, 0.000, 0.000]]}



{"formula": "ScMn2Co", "functional": "PBEsol", "state": "optimized geometry", "density_g_cm3": 6.98, "dos_ef_per_ev_cell": 0.93, "formation_enthalpy_0k_ev_per_atom": 0.026, "sg": "No. 216", "de_polymorph_mev_per_atom": 0.0, "lattice": [[-3.208, 1.155, 2.380], [-2.546, -2.875, 1.595], [0.051, -0.786, 4.083]], "species": ["Mn", "Mn", "Co", "Sc"], "fractional_positions": [[0.750, 0.750, 0.750], [0.000, 0.000, 0.000], [0.500, 0.500, 0.500], [0.250, 0.250, 0.250]]}



{"formula": "ScMnCo2", "functional": "PBEsol", "state": "optimized geometry", "density_g_cm3": 7.15, "dos_ef_per_ev_cell": 1.46, "formation_enthalpy_0k_ev_per_atom": -0.120, "sg": "No. 225", "lattice": [[-2.526, 2.350, -2.308], [-3.415, -1.656, -1.681], [-3.746, 1.057, 1.443]], "species": ["Mn", "Sc", "Co", "Co"], "fractional_positions": [[0.000, 0.000, 0.000], [0.500, 0.500, 0.500], [0.750, 0.750, 0.750], [0.250, 0.250, 0.250]]}



{"formula": "ScMn2Co", "functional": "PBEsol", "state": "optimized geometry", "density_g_cm3": 6.71, "dos_ef_per_ev_cell": 3.67, "formation_enthalpy_0k_ev_per_atom": 0.341, "sg": "No. 160", "de_polymorph_mev_per_atom": 315.1, "lattice": [[-0.010, -2.760, -0.190], [-0.116, -1.544, 2.292], [-8.013, -1.380, 0.334]], "species": ["Mn", "Mn", "Co", "Sc"], "fractional_positions": [[0.000, 0.000, 0.999], [0.742, 0.742, 0.775], [0.257, 0.257, 0.230], [0.501, 0.501, 0.496]]}



{"formula": "MnCoSe", "functional": "PBEsol", "state": "optimized geometry", "density_g_cm3": 7.76, "dos_ef_per_ev_cell": 2.65, "sg": "No. 156", "formation_energy_uncorrected_ev_per_fu": 0.81, "lattice": [[-0.973, 2.632, -1.065], [-0.851, -2.559, -1.317], [-4.200, -0.255, 3.210]], "species": ["Mn", "Se", "Co"], "fractional_positions": [[0.333, 0.667, 0.674], [0.667, 0.333, 0.343], [0.000, 0.000, 0.983]]}



{"formula": "MnCo2Se", "functional": "PBEsol", "state": "optimized geometry", "density_g_cm3": 8.63, "dos_ef_per_ev_cell": 3.33, "sg": "No. 225", "de_polymorph_mev_per_atom": 0.0, "formation_energy_uncorrected_ev_per_fu": 0.71, "lattice": [[-1.736, 1.208, 3.502], [-0.626, -2.699, 3.011], [2.229, 0.202, 3.425]], "species": ["Mn", "Co", "Co", "Se"], "fractional_positions": [[0.000, 0.000, 0.000], [0.250, 0.250, 0.250], [0.750, 0.750, 0.750], [0.500, 0.500, 0.500]]}



{"formula": "MnCo2Se", "functional": "PBEsol", "state": "optimized geometry", "density_g_cm3": 8.94, "dos_ef_per_ev_cell": 4.61, "sg": "No. 119", "de_polymorph_mev_per_atom": 3.6, "formation_energy_uncorrected_ev_per_fu": 0.73, "lattice": [[-1.502, 0.646, 3.086], [3.015, -0.708, 1.615], [0.258, 3.716, -2.628]], "species": ["Mn", "Se", "Co", "Co"], "fractional_positions": [[0.500, 0.500, 0.000], [0.250, 0.750, 0.500], [0.000, 0.000, 0.000], [0.750, 0.250, 0.500]]}



{"formula": "Mn2CoSe", "functional": "PBEsol", "state": "optimized geometry", "density_g_cm3": 8.02, "dos_ef_per_ev_cell": 3.08, "sg": "No. 123", "de_polymorph_mev_per_atom": 0.0, "formation_energy_uncorrected_ev_per_fu": 0.65, "lattice": [[-2.127, 1.971, -1.152], [-2.085, -2.318, -0.117], [-1.570, 1.165, 4.894]], "species": ["Se", "Mn", "Mn", "Co"], "fractional_positions": [[0.500, 0.500, 0.000], [0.000, 0.000, 0.745], [0.000, 0.000, 0.255], [0.500, 0.500, 0.500]]}



{"formula": "Mn2CoSe", "functional": "PBEsol", "state": "optimized geometry", "density_g_cm3": 8.26, "dos_ef_per_ev_cell": 5.03, "sg": "No. 65", "de_polymorph_mev_per_atom": 53.5, "formation_energy_uncorrected_ev_per_fu": 0.86, "lattice": [[2.970, 0.000, 0.000], [0.000, 4.174, -0.031], [0.000, -1.103, 4.026]], "species": ["Se", "Co", "Mn", "Mn"], "fractional_positions": [[0.500, 0.000, 0.000], [0.500, 0.500, 0.500], [0.000, 0.000, 0.500], [0.000, 0.500, 0.000]]}